VASP calculation (PBE) on HfAgIr2 after structural relaxation.

## Properties
The space group is No. 216. As for the formation energy: -58 meV/atom. The value obtained for the volume is 16.76 Å³ per atom.

abc: 4.560 4.560 4.560
angles: 60.00 60.00 60.00
Each line ends with the local moment (μB).
Sites, in units of the cell vectors:
Hf 0.750 0.750 0.750  -0.03
Ir 0.000 0.000 0.000  0.29
Ag 0.500 0.500 0.500  0.00
Ir 0.250 0.250 0.250  0.26